Entry 1:
A geometry-optimized Dy8Tl2Co3 structure. Source: the Alexandria database, functional GGA-PBE.

a b c (Å): 15.7487 7.2649 6.5727
angles (deg): 90.00 102.87 90.00
Closest atoms and distances in Å follow each position.
Space group C2/m (No. 12)
Asymmetric unit:
Dy 0.0909 0.0000 0.3986 x4  2 Co 2.73
Dy 0.0945 0.2539 0.8729 x8  2 Co 2.58
Dy 0.1240 0.5000 0.3761 x4  3 Co 2.73-2.79
Tl 0.2425 0.0000 0.1524 x4  6 Dy 3.16-3.33
Co 0.0000 0.2935 0.5000 x4  6 Dy 2.58-2.73
Co 0.0000 0.5000 0.0000 x2  6 Dy 2.58-2.79

Results
* energy: -4.930 eV per atom
* DFT formation energy: -0.094 eV/atom

Entry 2:
A geometry-optimized Dy12TlCo6 structure. Source: the Alexandria database, functional GGA-PBE.

a b c (Å): 9.6552 9.6552 9.6552
angles (deg): 90.00 90.00 90.00
Closest atoms and distances in Å follow each position.
Space group Im-3 (No. 204)
Asymmetric unit:
Dy 0.0000 0.3031 0.1939 x24  3 Co 2.66-2.88
Tl 0.0000 0.0000 0.0000 x2  12 Dy 3.47
Co 0.0000 0.1130 0.5000 x12  1 Co 2.18

Results
* energy: -5.513 eV per atom
* DFT formation energy: -0.238 eV/atom

Entry 3:
A geometry-optimized Dy6Tl3Co structure. Source: the Alexandria database, functional GGA-PBE.

a b c (Å): 6.0434 8.8351 11.9841
angles (deg): 90.00 118.20 90.00
Closest atoms and distances in Å follow each position.
Space group P2_1/c (No. 14)
Asymmetric unit:
Dy 0.0628 0.1549 0.4415 x4  1 Co 2.76
Dy 0.3436 0.7038 0.4337 x4  1 Co 2.77
Dy 0.4048 0.0527 0.2774 x4  1 Co 2.49
Tl 0.0000 0.0000 0.0000 x2  6 Dy 3.09-3.19
Tl 0.1736 0.1126 0.7651 x4  7 Dy 3.18-3.50
Co 0.5000 0.0000 0.5000 x2  6 Dy 2.49-2.77

Results
* energy: -4.381 eV per atom
* DFT formation energy: -0.199 eV/atom

Q: Which formula does entry 2 have?
A: Dy12TlCo6